# 1
This record from Alexandria describes Na2CaOsPd after structural relaxation. The functional is GGA-PBE.

a = 5.196 Å, b = 5.196 Å, c = 4.816 Å
α = 90.00°, β = 90.00°, γ = 90.00°
Sites, in units of the cell vectors:
Na (0.000, 0.500, 0.000)
Na (0.500, 0.000, 0.000)
Ca (0.000, 0.000, 0.000)
Os (0.000, 0.000, 0.500)
Pd (0.500, 0.500, 0.500)

Summary:
- DOS(E_F): 3.930 states/eV/f.u.
- Formation energy from the elements: 1.556 eV/atom
- Total magnetization: 0.99 μB per cell
- V: 26.00 A^3/atom

***

# 2
This record from Alexandria describes TaCrW2 after structural relaxation. The functional is GGA-PBE.

a = 8.684 Å, b = 8.684 Å, c = 8.684 Å
α = 19.52°, β = 19.52°, γ = 19.52°
Sites, in units of the cell vectors:
Ta (0.000, 0.000, 0.000)
Cr (0.253, 0.253, 0.253)
W (0.511, 0.511, 0.511)
W (0.758, 0.758, 0.758)

Summary:
- DOS(E_F): 2.985 states/eV/f.u.
- Energy relative to the lowest polymorph listed for this composition: 415 meV per atom
- Formation energy from the elements: 0.383 eV/atom
- Total magnetization: 0.00 μB per cell
- V: 15.98 A^3/atom

***

# 3
This record from Alexandria describes CoPb2Br after structural relaxation. The functional is GGA-PBE.

a = 3.433 Å, b = 3.433 Å, c = 8.067 Å
α = 90.00°, β = 90.00°, γ = 90.12°
Sites, in units of the cell vectors:
Co (0.000, 0.000, 0.000)
Pb (0.500, 0.500, 0.205)
Pb (0.500, 0.500, 0.795)
Br (0.000, 0.000, 0.500)

Summary:
- Formation energy from raw total energies: 0.155 eV per atom
- DOS(E_F): 3.520 states/eV/f.u.
- Energy relative to the lowest polymorph listed for this composition: 58 meV per atom
- Total magnetization: 0.74 μB per cell
- V: 23.77 A^3/atom

***

# 4
This record from Alexandria describes Li2IrCl after structural relaxation. The functional is GGA-PBE.

a = 4.348 Å, b = 4.348 Å, c = 4.348 Å
α = 60.00°, β = 60.00°, γ = 60.00°
Sites, in units of the cell vectors:
Li (0.000, 0.000, 0.000)
Li (0.250, 0.250, 0.250)
Ir (0.500, 0.500, 0.500)
Cl (0.750, 0.750, 0.750)

Summary:
- Formation energy from raw total energies: 0.238 eV per atom
- DOS(E_F): 4.071 states/eV/f.u.
- Energy relative to the lowest polymorph listed for this composition: 821 meV per atom
- Total magnetization: 0.00 μB per cell
- V: 14.53 A^3/atom

***

# 5
This record from Alexandria describes Tb8SiTe4S3 after structural relaxation. The functional is GGA-PBE.

a = 8.507 Å, b = 8.507 Å, c = 8.507 Å
α = 57.88°, β = 57.88°, γ = 57.88°
Sites, in units of the cell vectors:
Tb (0.235, 0.235, 0.235)
Tb (0.237, 0.736, 0.736)
Tb (0.264, 0.264, 0.763)
Tb (0.264, 0.763, 0.264)
Tb (0.736, 0.237, 0.736)
Tb (0.736, 0.736, 0.237)
Tb (0.763, 0.264, 0.264)
Tb (0.765, 0.765, 0.765)
Si (0.500, 0.500, 0.500)
Te (0.000, 0.000, 0.000)
Te (0.000, 0.500, 0.500)
Te (0.500, 0.000, 0.500)
Te (0.500, 0.500, 0.000)
S (0.000, 0.000, 0.500)
S (0.000, 0.500, 0.000)
S (0.500, 0.000, 0.000)

Summary:
- Formation energy from raw total energies: -1.563 eV per atom
- DOS(E_F): 5.071 states/eV/f.u.
- Total magnetization: 0.00 μB per cell
- V: 25.88 A^3/atom

***

# 6
This record from Alexandria describes SiAgMo2 after structural relaxation. The functional is GGA-PBE.

a = 2.785 Å, b = 4.131 Å, c = 5.481 Å
α = 90.00°, β = 98.55°, γ = 90.00°
Sites, in units of the cell vectors:
Si (0.000, 0.000, 0.000)
Ag (0.000, 0.000, 0.500)
Mo (0.433, 0.500, 0.222)
Mo (0.567, 0.500, 0.778)

Summary:
- Formation energy from raw total energies: 0.215 eV per atom
- DOS(E_F): 2.299 states/eV/f.u.
- Total magnetization: 0.00 μB per cell
- V: 15.59 A^3/atom